# 1
The following is a DFT calculation (meta-GGA SCAN) of K3InI6O18 at its PBEsol-relaxed geometry.

a = 6.7914 Å, b = 6.9681 Å, c = 10.4849 Å
α = 98.68°, β = 108.01°, γ = 102.27°
Last column: nearest neighbours and their distance in Å.
Atoms (fractional coordinates):
O1 0.1227 0.9320 0.5970  1 I 1.89
O2 0.3800 0.6936 0.7677  1 I 1.84
O3 0.4348 0.9671 0.3124  1 I 1.83
O4 0.5652 0.0329 0.6876  1 I 1.83
K1 0.3696 0.5333 0.2937  7 O 2.66-2.93
K2 0.6304 0.4667 0.7063  7 O 2.66-2.93
K3 0.0000 0.5000 0.5000  8 O 2.72-3.04
I1 0.4286 0.9693 0.8075  3 O 1.83-1.89
O5 0.2954 0.3021 0.4734  1 I 1.80
O6 0.9920 0.6500 0.2647  1 I 1.82
In1 0.0000 0.0000 0.0000  6 O 2.14-2.20
I2 0.7788 0.5254 0.0989  3 O 1.82-1.87
O7 0.6200 0.3064 0.2323  1 I 1.84
O8 0.9591 0.8870 0.7896  1 I 1.87
O9 0.4243 0.3480 0.8801  1 I 1.84
O10 0.8773 0.0680 0.4030  1 I 1.89
I3 0.2212 0.4746 0.9011  3 O 1.82-1.87
I4 0.8617 0.9522 0.6190  3 O 1.80-1.89
O11 0.0409 0.1130 0.2104  1 I 1.87
O12 0.3161 0.9577 0.0355  1 I 1.89
I5 0.1383 0.0478 0.3810  3 O 1.80-1.89
O13 0.0080 0.3500 0.7353  1 I 1.82
O14 0.6839 0.0423 0.9645  1 I 1.89
O15 0.1165 0.3245 0.0109  1 I 1.87
O16 0.7046 0.6979 0.5266  1 I 1.80
O17 0.5757 0.6520 0.1199  1 I 1.84
O18 0.8835 0.6755 0.9891  1 I 1.87
I6 0.5714 0.0307 0.1925  3 O 1.83-1.89

formation energy without anion corrections: -2401 kJ/mol of formula units
space group: P-1, No. 2



# 2
The following is a DFT calculation (meta-GGA SCAN) of LiSn2S3O12 at its PBEsol-relaxed geometry.

a = 9.1833 Å, b = 9.1833 Å, c = 8.3406 Å
α = 56.60°, β = 56.60°, γ = 60.00°
Last column: nearest neighbours and their distance in Å.
Atoms (fractional coordinates):
O1 0.5707 0.0585 0.0586  1 S 1.47
O2 0.9415 0.6877 0.9414  1 S 1.47
S1 0.5934 0.9066 0.2500  4 O 1.47-1.50
S2 0.9066 0.2500 0.2500  4 O 1.47-1.50
O3 0.6080 0.7333 0.2565  1 S 1.50
S3 0.0934 0.7500 0.7500  4 O 1.47-1.50
O4 0.0978 0.7667 0.2435  1 S 1.50
O5 0.9022 0.2333 0.7565  1 S 1.50
Sn1 0.8340 0.8340 0.4979  6 O 2.24-2.38
O6 0.0707 0.8123 0.5586  1 S 1.47
Li1 0.0000 0.0000 0.0000  6 O 2.19
Li2 0.5000 0.5000 0.5000  6 O 2.19
O7 0.7333 0.4022 0.2565  1 S 1.50
O8 0.4415 0.9293 0.4414  1 S 1.47
O9 0.5978 0.3920 0.7435  1 S 1.50
O10 0.3123 0.5707 0.0586  1 S 1.47
O11 0.7667 0.8920 0.2435  1 S 1.50
O12 0.4293 0.9415 0.9414  1 S 1.47
O13 0.0585 0.3123 0.0586  1 S 1.47
O14 0.1080 0.9022 0.7565  1 S 1.50
O15 0.3920 0.2667 0.7435  1 S 1.50
Sn2 0.1660 0.1660 0.5021  6 O 2.24-2.38
O16 0.2333 0.1080 0.7565  1 S 1.50
O17 0.4022 0.6080 0.2565  1 S 1.50
Sn3 0.3340 0.3340 0.9979  6 O 2.24-2.38
S4 0.4066 0.0934 0.7500  4 O 1.47-1.50
O18 0.9293 0.1877 0.4414  1 S 1.47
O19 0.1877 0.4415 0.4414  1 S 1.47
O20 0.5585 0.0707 0.5586  1 S 1.47
O21 0.6877 0.4293 0.9414  1 S 1.47
S5 0.7500 0.4066 0.7500  4 O 1.47-1.50
Sn4 0.6660 0.6660 0.0021  6 O 2.24-2.38
O22 0.8123 0.5585 0.5586  1 S 1.47
O23 0.2667 0.5978 0.7435  1 S 1.50
O24 0.8920 0.0978 0.2435  1 S 1.50
S6 0.2500 0.5934 0.2500  4 O 1.47-1.50

formation energy without anion corrections: -2755 kJ/mol of formula units
space group: R-3c, No. 167



# 3
The following is a DFT calculation (meta-GGA SCAN) of LaYMo at its PBEsol-relaxed geometry.

a = 3.4504 Å, b = 3.4504 Å, c = 7.2596 Å
α = 90.00°, β = 90.00°, γ = 120.00°
Last column: nearest neighbours and their distance in Å.
Atoms (fractional coordinates):
Mo1 0.6667 0.3333 0.6726  3 La 2.84, 3 Y 2.93
La1 0.0000 0.0000 0.9514  3 Mo 2.84
Y1 0.3333 0.6667 0.3760  3 Mo 2.93

ΔE to the lowest computed polymorph: 0 meV per atom
space group: P3m1, No. 156
formation enthalpy at 0 K: 155 kJ/mol of formula units



# 4
The following is a DFT calculation (meta-GGA SCAN) of Ca2BeW at its PBEsol-relaxed geometry.

a = 3.0460 Å, b = 3.0460 Å, c = 10.1949 Å
α = 81.41°, β = 81.41°, γ = 60.00°
Last column: nearest neighbours and their distance in Å.
Atoms (fractional coordinates):
Be1 0.0000 0.0000 0.0000  6 Ca 3.02, 6 Be 3.05
W1 0.5000 0.5000 0.5000  6 W 3.05, 6 Ca 3.11
Ca1 0.2520 0.2520 0.2441  3 Be 3.02, 6 Ca 3.05, 3 W 3.11
Ca2 0.7480 0.7480 0.7559  3 Be 3.02, 6 Ca 3.05, 3 W 3.11

space group: R-3m, No. 166
formation enthalpy at 0 K: 424 kJ/mol of formula units



# 5
The following is a DFT calculation (meta-GGA SCAN) of AlCdSe2 at its PBEsol-relaxed geometry.

a = 6.8321 Å, b = 6.3229 Å, c = 6.8321 Å
α = 57.30°, β = 90.00°, γ = 122.70°
Last column: nearest neighbours and their distance in Å.
Atoms (fractional coordinates):
Se1 0.5777 0.7500 0.3750  2 Al 2.42
Al1 0.5000 0.0000 0.5000  4 Se 2.42
Al2 0.2500 0.5000 0.2500  4 Se 2.42
Se2 0.3750 0.2500 0.1723  2 Al 2.42
Se3 0.1723 0.7500 0.8750  2 Al 2.42
Cd1 0.0000 0.0000 0.0000  4 Se 2.84
Cd2 0.7500 0.5000 0.7500  4 Se 2.84
Se4 0.8750 0.2500 0.5777  2 Al 2.42

ΔE to the lowest computed polymorph: 0 meV per atom
formation energy without anion corrections: -204 kJ/mol of formula units
space group: I-42d, No. 122



# 6
The following is a DFT calculation (meta-GGA SCAN) of MgMn2Co at its PBEsol-relaxed geometry.

a = 4.1189 Å, b = 4.1189 Å, c = 4.1189 Å
α = 60.00°, β = 60.00°, γ = 60.00°
Last column: nearest neighbours and their distance in Å.
Atoms (fractional coordinates):
Mg1 0.2500 0.2500 0.2500  4 Mn 2.52, 4 Co 2.52
Mn1 0.7500 0.7500 0.7500  4 Mn 2.52, 4 Co 2.52
Mn2 0.0000 0.0000 0.0000  4 Mn 2.52, 4 Mg 2.52
Co1 0.5000 0.5000 0.5000  4 Mn 2.52, 4 Mg 2.52

space group: F-43m, No. 216
formation enthalpy at 0 K: -26 kJ/mol of formula units